Record 1
Ce8Tl3Bi2 after structural relaxation. Source: the Alexandria database, functional GGA-PBE.

abc: 8.6534 8.6534 6.1752
angles: 104.47 104.47 64.41
Closest atoms and distances in Å follow each position.
Positions (direct):
Ce 0.0822 0.7087 0.9392  2 Ce 2.66-2.93
Ce 0.1252 0.1252 0.4008  3 Ce 2.66-2.81
Ce 0.2913 0.9178 0.0608  2 Ce 2.66-2.93
Ce 0.3222 0.3222 0.4470  1 Ce 2.81
Ce 0.6778 0.6778 0.5530  1 Ce 2.81
Ce 0.7087 0.0822 0.9392  2 Ce 2.66-2.93
Ce 0.8748 0.8748 0.5992  3 Ce 2.66-2.81
Ce 0.9178 0.2913 0.0608  2 Ce 2.66-2.93
Tl 0.2757 0.7243 0.5000  8 Ce 3.27-3.58
Tl 0.5000 0.5000 0.0000  4 Ce 3.24, 2 Bi 3.29
Tl 0.7243 0.2757 0.5000  8 Ce 3.27-3.58
Bi 0.2671 0.2671 0.9127  7 Ce 3.16-3.42, 1 Tl 3.29
Bi 0.7329 0.7329 0.0873  7 Ce 3.16-3.42, 1 Tl 3.29

Properties
Spin magnetization ... 3.361 μB per formula unit
Formation energy from the elements ... -158 meV/atom
Uncorrected energy ... -4.953 eV/atom
Space group ... C2/m

---

Record 2
MnAg2GeS4 after structural relaxation. Source: the Alexandria database, functional GGA-PBE.

abc: 5.5054 5.5054 11.8304
angles: 90.00 90.00 90.00
Closest atoms and distances in Å follow each position.
Positions (direct):
Mn 0.0000 0.0000 0.0000  4 S 2.43
Mn 0.5000 0.5000 0.5000  4 S 2.43
Ag 0.0000 0.5000 0.2500  4 S 2.55
Ag 0.0000 0.5000 0.7500  4 S 2.55
Ag 0.5000 0.0000 0.2500  4 S 2.55
Ag 0.5000 0.0000 0.7500  4 S 2.55
Ge 0.0000 0.0000 0.5000  4 S 2.27
Ge 0.5000 0.5000 0.0000  4 S 2.27
S 0.2376 0.2376 0.3894  1 Ge 2.27, 1 Mn 2.43
S 0.2376 0.7624 0.6106  1 Ge 2.27, 1 Mn 2.43
S 0.2624 0.2624 0.8894  1 Ge 2.27, 1 Mn 2.43
S 0.2624 0.7376 0.1106  1 Ge 2.27, 1 Mn 2.43
S 0.7376 0.2624 0.1106  1 Ge 2.27, 1 Mn 2.43
S 0.7376 0.7376 0.8894  1 Ge 2.27, 1 Mn 2.43
S 0.7624 0.2376 0.6106  1 Ge 2.27, 1 Mn 2.43
S 0.7624 0.7624 0.3894  1 Ge 2.27, 1 Mn 2.43

Properties
Spin magnetization ... 5.001 μB per formula unit
Energy relative to the elements, uncorrected ... -0.31 eV per atom
Uncorrected energy ... -4.810 eV/atom
Space group ... I-42m